Density functional theory data (PBE with a Hubbard U) for a geometry-optimized V2Bi2O7 structure.

Summary:
Energy above the most stable polymorph in this dataset   0.00 eV per formula unit
Magnetization   2.00 μB/f.u.
Symmetry   No. 14

Cell lengths 5.1604, 5.7810, 11.7107 Å; angles 90.00, 90.00, 93.42 degrees
Closest atoms and distances in Å follow each position.
Element x y z (fractional)
O1 0.6893 0.4810 0.7939  1 V 1.84
O2 0.3107 0.0190 0.2939  1 V 1.84
O3 0.8019 0.7116 0.3076  1 V 1.84
O4 0.2775 0.6006 0.4484  1 V 1.82
O5 0.1981 0.2884 0.6924  1 V 1.84
O6 0.0000 0.5000 0.0000  2 V 1.81
O7 0.1981 0.7884 0.8076  1 V 1.84
O8 0.8019 0.2116 0.1924  1 V 1.84
O9 0.2775 0.1006 0.0516  1 V 1.82
O10 0.6893 0.9810 0.7061  1 V 1.84
O11 0.7225 0.8994 0.9484  1 V 1.82
O12 0.7225 0.3994 0.5516  1 V 1.82
O13 0.3107 0.5190 0.2061  1 V 1.84
O14 0.0000 0.0000 0.5000  2 V 1.81
Bi1 0.4397 0.6143 0.6501  6 O 2.25-2.51
Bi2 0.5603 0.3857 0.3499  6 O 2.25-2.51
Bi3 0.4397 0.1143 0.8499  6 O 2.25-2.51
Bi4 0.5603 0.8857 0.1501  6 O 2.25-2.51
V1 0.0974 0.8244 0.3812  4 O 1.81-1.84
V2 0.9026 0.6756 0.8812  4 O 1.81-1.84
V3 0.9026 0.1756 0.6188  4 O 1.81-1.84
V4 0.0974 0.3244 0.1188  4 O 1.81-1.84